Record 1
Density functional theory data (PBE+U) for an optimized crystal structure of K3MnZn2F9.

## Properties
theoretical density: 3.62 g/cm3
final energy: -4.65 eV/atom

Cell: 5.8980 5.8980 7.2275 Å, 90.00 90.00 120.00°
Closest atoms and distances in Å follow each position.
Positions (direct):
K 0.3333 0.6667 0.6697  12 F 2.93-2.98
K 0.0000 0.0000 0.0000  12 F 2.94-2.95
K 0.6667 0.3333 0.3303  12 F 2.93-2.98
Mn 0.0000 0.0000 0.5000  6 F 2.13
Zn 0.3333 0.6667 0.1636  6 F 2.06-2.07
Zn 0.6667 0.3333 0.8364  6 F 2.06-2.07
F 0.8307 0.1693 0.6710  1 Zn 2.06, 1 Mn 2.13
F 0.8307 0.6614 0.6710  1 Zn 2.06, 1 Mn 2.13
F 0.3386 0.1693 0.6710  1 Zn 2.06, 1 Mn 2.13
F 0.6614 0.8307 0.3290  1 Zn 2.06, 1 Mn 2.13
F 0.1693 0.3386 0.3290  1 Zn 2.06, 1 Mn 2.13
F 0.1693 0.8307 0.3290  1 Zn 2.06, 1 Mn 2.13
F 0.5000 0.0000 0.0000  2 Zn 2.07
F 0.0000 0.5000 0.0000  2 Zn 2.07
F 0.5000 0.5000 0.0000  2 Zn 2.07

=====

Record 2
Density functional theory data (PBE+U) for an optimized crystal structure of K2MnZnF6.

## Properties
theoretical density: 3.52 g/cm3
final energy: -4.89 eV/atom

Cell: 5.9290 5.9277 8.3857 Å, 90.00 90.00 90.00°
Closest atoms and distances in Å follow each position.
Positions (direct):
K 0.5000 0.7500 0.2497  12 F 2.96-2.97
K 0.0000 0.2500 0.7497  12 F 2.96-2.97
K 0.5000 0.7500 0.7503  12 F 2.96-2.97
K 0.0000 0.2500 0.2503  12 F 2.96-2.97
Mn 0.5000 0.2500 0.5000  6 F 2.13
Mn 0.0000 0.7500 0.0000  6 F 2.13
Zn 0.0000 0.7500 0.5000  6 F 2.06
Zn 0.5000 0.2500 0.0000  6 F 2.06
F 0.5000 0.2500 0.2462  1 Zn 2.06, 1 Mn 2.13
F 0.5000 0.2500 0.7538  1 Zn 2.06, 1 Mn 2.13
F 0.0000 0.7500 0.2538  1 Zn 2.06, 1 Mn 2.13
F 0.0000 0.7500 0.7462  1 Zn 2.06, 1 Mn 2.13
F 0.2461 0.9961 0.5000  1 Zn 2.06, 1 Mn 2.13
F 0.7539 0.9961 0.5000  1 Zn 2.06, 1 Mn 2.13
F 0.2460 0.5038 0.5000  1 Zn 2.06, 1 Mn 2.13
F 0.7540 0.5038 0.5000  1 Zn 2.06, 1 Mn 2.13
F 0.7460 0.4962 0.0000  1 Zn 2.06, 1 Mn 2.13
F 0.2540 0.4962 0.0000  1 Zn 2.06, 1 Mn 2.13
F 0.2539 0.0039 0.0000  1 Zn 2.06, 1 Mn 2.13
F 0.7461 0.0039 0.0000  1 Zn 2.06, 1 Mn 2.13

=====

Record 3
Density functional theory data (PBE+U) for an optimized crystal structure of K2MnZn3F12.

## Properties
theoretical density: 3.24 g/cm3
final energy: -4.41 eV/atom

Cell: 7.5449 7.5449 7.5449 Å, 57.44 57.44 57.44°
Closest atoms and distances in Å follow each position.
Positions (direct):
K 0.6000 0.6000 0.6000  3 F 2.82
K 0.4000 0.4000 0.4000  3 F 2.82
Mn 0.0000 0.0000 0.0000  6 F 1.85
Zn 0.5000 0.0000 0.0000  6 F 2.01-2.17
Zn 0.0000 0.5000 0.0000  6 F 2.01-2.17
Zn 0.0000 0.0000 0.5000  6 F 2.01-2.17
F 0.3318 0.3318 0.9231  2 Zn 2.01
F 0.9338 0.9338 0.2982  1 Mn 1.85
F 0.2982 0.9338 0.9338  1 Mn 1.85
F 0.9231 0.3318 0.3318  2 Zn 2.01
F 0.9338 0.2982 0.9338  1 Mn 1.85
F 0.3318 0.9231 0.3318  2 Zn 2.01
F 0.6682 0.6682 0.0769  2 Zn 2.01
F 0.0662 0.0662 0.7018  1 Mn 1.85
F 0.7018 0.0662 0.0662  1 Mn 1.85
F 0.0769 0.6682 0.6682  2 Zn 2.01
F 0.0662 0.7018 0.0662  1 Mn 1.85
F 0.6682 0.0769 0.6682  2 Zn 2.01

=====

Record 4
Density functional theory data (PBE+U) for an optimized crystal structure of KMnZn2F8.

## Properties
theoretical density: 3.45 g/cm3
final energy: -4.38 eV/atom

Cell: 5.1800 5.1800 8.3573 Å, 71.95 71.95 60.00°
Closest atoms and distances in Å follow each position.
Positions (direct):
K 0.5000 0.5000 0.5000  12 F 3.01-3.31
Mn 0.0000 0.0000 0.0000  6 F 1.92
Zn 0.2590 0.2590 0.2229  4 F 1.86-1.96
Zn 0.7410 0.7410 0.7771  4 F 1.86-1.96
F 0.1796 0.1796 0.4613  1 Zn 1.86
F 0.6566 0.2615 0.1414  1 Mn 1.92, 1 Zn 1.96
F 0.8204 0.8204 0.5387  1 Zn 1.86
F 0.9405 0.6566 0.1414  1 Mn 1.92, 1 Zn 1.96
F 0.0595 0.3434 0.8586  1 Mn 1.92, 1 Zn 1.96
F 0.2615 0.9405 0.1414  1 Mn 1.92, 1 Zn 1.96
F 0.7385 0.0595 0.8586  1 Mn 1.92, 1 Zn 1.96
F 0.3434 0.7385 0.8586  1 Mn 1.92, 1 Zn 1.96

=====

Record 5
Density functional theory data (PBE+U) for an optimized crystal structure of KMo3F.

## Properties
energy above the lowest structure with this stoichiometry: 0.000 eV per formula unit
theoretical density: 4.03 g/cm3

Cell: 5.2223 5.2223 5.2223 Å, 90.00 90.00 90.00°
Closest atoms and distances in Å follow each position.
Positions (direct):
Mo 0.0000 0.5000 0.0000  2 F 2.61
Mo 0.0000 0.0000 0.5000  2 F 2.61
Mo 0.5000 0.0000 0.0000  2 F 2.61
K 0.5000 0.5000 0.5000  12 Mo 3.69
F 0.0000 0.0000 0.0000  6 Mo 2.61

=====

Record 6
Density functional theory data (PBE+U) for an optimized crystal structure of K2MoF.

## Properties
energy above the lowest structure with this stoichiometry: 1.546 eV per formula unit
theoretical density: 2.28 g/cm3

Cell: 5.8363 5.8363 5.8363 Å, 60.00 60.00 60.00°
Closest atoms and distances in Å follow each position.
Positions (direct):
Mo 0.5000 0.5000 0.5000  8 K 3.57
K 0.2500 0.2500 0.2500  4 Mo 3.57, 4 F 3.57
K 0.7500 0.7500 0.7500  4 F 3.57, 4 Mo 3.57
F 0.0000 0.0000 0.0000  8 K 3.57